Record 1
Below is an optimized crystal structure of ScInAs, with properties calculated at the GGA-PBEsol level.

Results
For the density of states at the Fermi level, the calculation gives 0.973 states/eV/atom. The space group is F-43m, No. 216. The electronic total energy is -5.138 eV/atom. The mass density is 5.5 g cm⁻³. The energy of formation from the pure elements is -0.2396 eV per atom.

a b c (Å): 4.6521 4.6521 4.6521
angles (deg): 60.00 60.00 60.00
With the nearest neighbours (Å) after each atom.
Atoms (fractional coordinates):
As 0.0000 0.0000 0.0000  4 Sc 2.85
In 0.5000 0.5000 0.5000  4 Sc 2.85
Sc 0.2500 0.2500 0.2500  4 In 2.85, 4 As 2.85


Record 2
Below is an optimized crystal structure of InAs2Se, with properties calculated at the GGA-PBEsol level.

Results
For the density of states at the Fermi level, the calculation gives 0.472 states/eV/atom. The space group is Pmmm, No. 47. The electronic total energy is -3.996 eV/atom. For the uncorrected formation energy, the calculation gives 103 kJ/mol of formula units. The mass density is 6.6 g cm⁻³.

a b c (Å): 3.4589 4.0149 6.2193
angles (deg): 90.00 90.00 90.00
With the nearest neighbours (Å) after each atom.
Atoms (fractional coordinates):
As 0.0000 0.0000 0.1999  1 As 2.49
As 0.0000 0.0000 0.8001  1 As 2.49
Se 0.5000 0.5000 0.0000  8 As 2.93, 2 In 3.11
In 0.5000 0.5000 0.5000  2 Se 3.11, 8 As 3.24, 2 In 3.46


Record 3
Below is an optimized crystal structure of InAs2Se, with properties calculated at the GGA-PBEsol level.

Results
For the density of states at the Fermi level, the calculation gives 0.353 states/eV/atom. The space group is P4/mmm, No. 123. The electronic total energy is -4.379 eV/atom. For the uncorrected formation energy, the calculation gives -45 kJ/mol of formula units. The mass density is 6.6 g cm⁻³.

a b c (Å): 3.9727 3.9727 5.4971
angles (deg): 90.00 90.00 90.00
With the nearest neighbours (Å) after each atom.
Atoms (fractional coordinates):
As 0.0000 0.0000 0.1250  2 In 2.75, 4 As 2.81
As 0.5000 0.5000 0.1249  2 Se 2.75, 4 As 2.81
Se 0.5000 0.5000 0.6250  2 As 2.75, 4 In 2.81
In 0.0000 0.0000 0.6250  2 As 2.75, 4 Se 2.81


Record 4
Below is an optimized crystal structure of InAs2Se, with properties calculated at the GGA-PBEsol level.

Results
For the density of states at the Fermi level, the calculation gives 0.509 states/eV/atom. The space group is P4/mmm, No. 123. The electronic total energy is -4.009 eV/atom. For the uncorrected formation energy, the calculation gives 97 kJ/mol of formula units. The mass density is 7.0 g cm⁻³.

a b c (Å): 3.4175 4.8762 4.8762
angles (deg): 89.98 90.00 90.00
With the nearest neighbours (Å) after each atom.
Atoms (fractional coordinates):
As 0.0000 0.0000 0.5000  4 In 2.98, 4 Se 2.98
As 0.0000 0.5000 0.0000  4 Se 2.98, 4 In 2.98
Se 0.5000 0.5000 0.5000  8 As 2.98
In 0.5000 0.0000 0.0000  8 As 2.98